1.
A geometry-optimized TaCoPd structure. Source: Alexandria via LeMat-Bulk, functional PBE.

abc: 3.1574 3.1574 9.8019
angles: 99.27 99.27 90.00
Last column: nearest neighbours and their distance in Å.
Fractional positions:
Co 0.7860 0.7860 0.5720  5 Ta 2.54-2.58, 4 Co 2.62, 1 Pd 2.79
Ta 0.3490 0.3490 0.6980  5 Co 2.54-2.58, 4 Pd 2.74
Co 0.2140 0.2140 0.4280  5 Ta 2.54-2.58, 4 Co 2.62, 1 Pd 2.79
Ta 0.6510 0.6510 0.3020  5 Co 2.54-2.58, 4 Pd 2.74
Pd 0.0679 0.0679 0.1359  1 Pd 2.59, 4 Ta 2.74, 1 Co 2.79
Pd 0.9321 0.9321 0.8641  1 Pd 2.59, 4 Ta 2.74, 1 Co 2.79

Values from the calculation:
formation energy from the elements = -0.162 eV per atom
space-group type = I4/mmm, No. 139
ΔE to the lowest computed polymorph = 171 meV per atom
crystal system = tetragonal
spin magnetization = 0.00 μB/f.u.

=====

2.
A geometry-optimized TiOs structure. Source: Alexandria via LeMat-Bulk, functional PBE.

abc: 9.7361 9.7361 2.9660
angles: 90.00 90.00 90.00
Last column: nearest neighbours and their distance in Å.
Fractional positions:
Ti 0.1414 0.6598 0.5000  4 Os 2.46-2.64
Ti 0.6414 0.1598 0.0000  4 Os 2.46-2.64
Os 0.9289 0.8227 0.5000  4 Ti 2.46-2.64, 2 Os 2.63
Os 0.3227 0.5711 0.0000  4 Ti 2.46-2.64, 2 Os 2.63
Ti 0.8586 0.3402 0.5000  4 Os 2.46-2.64
Ti 0.8402 0.6414 0.0000  4 Os 2.46-2.64
Ti 0.6598 0.8586 0.5000  4 Os 2.46-2.64
Os 0.6773 0.4289 0.0000  4 Ti 2.46-2.64, 2 Os 2.63
Ti 0.1598 0.3586 0.0000  4 Os 2.46-2.64
Ti 0.3402 0.1414 0.5000  4 Os 2.46-2.64
Os 0.1773 0.9289 0.5000  4 Ti 2.46-2.64, 2 Os 2.63
Os 0.4289 0.3227 0.0000  4 Ti 2.46-2.64, 2 Os 2.63
Os 0.0711 0.1773 0.5000  4 Ti 2.46-2.64, 2 Os 2.63
Ti 0.3586 0.8402 0.0000  4 Os 2.46-2.64
Os 0.5711 0.6773 0.0000  4 Ti 2.46-2.64, 2 Os 2.63
Os 0.8227 0.0711 0.5000  4 Ti 2.46-2.64, 2 Os 2.63

Values from the calculation:
formation energy from the elements = 0.215 eV per atom
space-group type = I4/m, No. 87
crystal system = tetragonal
spin magnetization = 0.00 μB/f.u.

=====

3.
A geometry-optimized Ga6Cu12Pd structure. Source: Alexandria via LeMat-Bulk, functional PBE.

abc: 6.8916 6.8916 6.8916
angles: 106.09 106.09 106.09
Last column: nearest neighbours and their distance in Å.
Fractional positions:
Ga 0.7022 0.3041 0.7022  8 Cu 2.49-2.67, 2 Ga 2.76
Cu 0.1125 0.5000 0.8875  3 Cu 2.48-2.54, 4 Ga 2.49-2.52
Cu 0.3461 0.3461 0.1061  4 Cu 2.54-2.64, 4 Ga 2.57-2.67, 1 Pd 2.61
Cu 0.6539 0.6539 0.8939  4 Cu 2.54-2.64, 4 Ga 2.57-2.67, 1 Pd 2.61
Ga 0.2978 0.6959 0.2978  8 Cu 2.49-2.67, 2 Ga 2.76
Cu 0.8939 0.6539 0.6539  4 Cu 2.54-2.64, 4 Ga 2.57-2.67, 1 Pd 2.61
Ga 0.2978 0.2978 0.6959  8 Cu 2.49-2.67, 2 Ga 2.76
Cu 0.8875 0.5000 0.1125  3 Cu 2.48-2.54, 4 Ga 2.49-2.52
Cu 0.1061 0.3461 0.3461  4 Cu 2.54-2.64, 4 Ga 2.57-2.67, 1 Pd 2.61
Ga 0.7022 0.7022 0.3041  8 Cu 2.49-2.67, 2 Ga 2.76
Cu 0.8875 0.1125 0.5000  3 Cu 2.48-2.54, 4 Ga 2.49-2.52
Cu 0.5000 0.1125 0.8875  3 Cu 2.48-2.54, 4 Ga 2.49-2.52
Cu 0.1125 0.8875 0.5000  3 Cu 2.48-2.54, 4 Ga 2.49-2.52
Cu 0.5000 0.8875 0.1125  3 Cu 2.48-2.54, 4 Ga 2.49-2.52
Pd 0.0000 0.0000 0.0000  6 Cu 2.61
Cu 0.6539 0.8939 0.6539  4 Cu 2.54-2.64, 4 Ga 2.57-2.67, 1 Pd 2.61
Cu 0.3461 0.1061 0.3461  4 Cu 2.54-2.64, 4 Ga 2.57-2.67, 1 Pd 2.61
Ga 0.6959 0.2978 0.2978  8 Cu 2.49-2.67, 2 Ga 2.76
Ga 0.3041 0.7022 0.7022  8 Cu 2.49-2.67, 2 Ga 2.76

Values from the calculation:
formation energy from the elements = 0.100 eV per atom
space-group type = R-3m, No. 166
crystal system = trigonal
spin magnetization = 0.00 μB/f.u.

=====

4.
A geometry-optimized Li4Cd2Pt structure. Source: Alexandria via LeMat-Bulk, functional PBE.

abc: 9.1169 5.3019 5.3383
angles: 119.77 90.00 90.00
Last column: nearest neighbours and their distance in Å.
Fractional positions:
Cd 0.0000 0.3385 0.6770  8 Li 2.76-3.04, 1 Cd 2.99, 2 Pt 3.04
Li 0.2500 0.4976 0.5000  2 Li 2.32
Li 0.7500 0.5024 0.5000  2 Li 2.32
Li 0.7500 0.0024 0.5000  2 Li 2.32
Pt 0.0000 0.0000 0.0000  4 Li 2.63-2.64
Cd 0.0000 0.6615 0.3230  8 Li 2.76-3.04, 1 Cd 2.99, 2 Pt 3.04
Li 0.7505 0.7461 0.0000  2 Li 2.32
Li 0.2500 0.9976 0.5000  2 Li 2.32
Pt 0.5000 0.5000 0.0000  4 Li 2.63-2.64
Li 0.2505 0.7539 0.0000  2 Li 2.32
Cd 0.5000 0.1615 0.3230  8 Li 2.76-3.04, 1 Cd 2.99, 2 Pt 3.04
Cd 0.5000 0.8385 0.6770  8 Li 2.76-3.04, 1 Cd 2.99, 2 Pt 3.04
Li 0.7495 0.2461 0.0000  2 Li 2.32
Li 0.2495 0.2539 0.0000  2 Li 2.32

Values from the calculation:
formation energy from the elements = -0.140 eV per atom
space-group type = Cmce, No. 64
ΔE to the lowest computed polymorph = 107 meV per atom
crystal system = orthorhombic
spin magnetization = 0.00 μB/f.u.

=====

5.
A geometry-optimized Pu3GaOs structure. Source: Alexandria via LeMat-Bulk, functional PBE.

abc: 5.7821 7.5252 9.5275
angles: 106.16 90.00 90.00
Last column: nearest neighbours and their distance in Å.
Fractional positions:
Pu 0.6303 0.4784 0.3616  1 Pu 2.54
Pu 0.6234 0.7672 0.2725  2 Pu 2.53-2.54
Os 0.8955 0.3636 0.0988  2 Ga 2.66-2.70, 2 Pu 2.77-2.86
Pu 0.3697 0.5216 0.6384  1 Pu 2.54
Pu 0.8697 0.9784 0.8616  1 Pu 2.54
Pu 0.3766 0.2328 0.7275  2 Pu 2.53-2.54
Ga 0.6333 0.0951 0.1547  2 Os 2.66-2.70, 3 Pu 2.92-2.98
Os 0.1045 0.6364 0.9012  2 Ga 2.66-2.70, 2 Pu 2.77-2.86
Ga 0.8667 0.5951 0.6547  2 Os 2.66-2.70, 3 Pu 2.92-2.98
Pu 0.1234 0.7328 0.2275  2 Pu 2.53-2.54
Pu 0.1303 0.0216 0.1384  1 Pu 2.54
Pu 0.1495 0.8441 0.5033  1 Pu 2.53, 1 Os 2.77
Ga 0.3667 0.9049 0.8453  2 Os 2.66-2.70, 3 Pu 2.92-2.98
Pu 0.6495 0.6559 0.9967  1 Pu 2.53, 1 Os 2.77
Os 0.6045 0.8636 0.5988  2 Ga 2.66-2.70, 2 Pu 2.77-2.86
Ga 0.1333 0.4049 0.3453  2 Os 2.66-2.70, 3 Pu 2.92-2.98
Pu 0.3505 0.3441 0.0033  1 Pu 2.53, 1 Os 2.77
Pu 0.8766 0.2672 0.7725  2 Pu 2.53-2.54
Pu 0.8505 0.1559 0.4967  1 Pu 2.53, 1 Os 2.77
Os 0.3955 0.1364 0.4012  2 Ga 2.66-2.70, 2 Pu 2.77-2.86

Values from the calculation:
formation energy from the elements = -0.098 eV per atom
space-group type = P2_1/c, No. 14
crystal system = monoclinic
spin magnetization = 5.07 μB/f.u.

=====

6.
A geometry-optimized Sr2AlW structure. Source: Alexandria via LeMat-Bulk, functional PBE.

abc: 11.1330 11.1330 11.1330
angles: 17.04 17.04 17.04
Last column: nearest neighbours and their distance in Å.
Fractional positions:
Sr 0.9973 0.9973 0.9973  3 W 3.27, 6 Sr 3.30, 3 Al 3.41
Al 0.7500 0.7500 0.7500  6 Al 3.30, 6 Sr 3.41
W 0.2500 0.2500 0.2500  6 Sr 3.27, 6 W 3.30
Sr 0.5027 0.5027 0.5027  3 W 3.27, 6 Sr 3.30, 3 Al 3.41

Values from the calculation:
formation energy from the elements = 0.991 eV per atom
space-group type = R-3m, No. 166
crystal system = trigonal
spin magnetization = 0.00 μB/f.u.